Record 1
# Cs3CaPb2I9 | Alexandria via LeMat-Bulk | PBE-GGA | relaxed
# * V: 761.7 Å³/cell
# * crystal system: trigonal
# * calculated total energy: -2.918 eV/atom
data_Cs3CaPb2I9
_cell_length_a 8.9490
_cell_length_b 8.9490
_cell_length_c 10.9830
_cell_angle_alpha 90.00
_cell_angle_beta 90.00
_cell_angle_gamma 120.00
_space_group_name_H-M_alt 'P -3 m 1'
_space_group_IT_number 164
_space_group_name_Hall '-P 3 2"'
loop_
_atom_site_label
_atom_site_type_symbol
_atom_site_fract_x
_atom_site_fract_y
_atom_site_fract_z
Cs1 Cs 0.0000 0.0000 0.0000
Cs2 Cs 0.3333 0.6667 0.6602
Ca1 Ca 0.0000 0.0000 0.5000
Pb1 Pb 0.3333 0.6667 0.1691
I1 I 0.0000 0.5000 0.0000
I2 I 0.1646 0.3291 0.3378

***

Record 2
# PmEr4Tm2 | Alexandria via LeMat-Bulk | PBE-GGA | relaxed
# * V: 434.5 Å³/cell
# * energy of formation: 133 meV per atom
# * crystal system: monoclinic
data_PmEr4Tm2
_cell_length_a 6.079
_cell_length_b 6.480
_cell_length_c 11.384
_cell_angle_alpha 90.00
_cell_angle_beta 104.34
_cell_angle_gamma 90.00
_space_group_name_H-M_alt 'P 1 21/m 1'
_space_group_IT_number 11
loop_
_space_group_symop_operation_xyz
'x,y,z'
'-x,-y,-z'
'-x,y+1/2,-z'
'x,-y+1/2,z'
loop_
_atom_site_label
_atom_site_type_symbol
_atom_site_fract_x
_atom_site_fract_y
_atom_site_fract_z
Pm1 Pm 0.042 0.250 0.364
Er1 Er 0.152 0.250 0.664
Er2 Er 0.287 0.750 0.924
Er3 Er 0.346 0.507 0.211
Tm1 Tm 0.150 0.250 0.949
Tm2 Tm 0.394 0.750 0.506

***

Record 3
# Pr5Tl6 | Alexandria via LeMat-Bulk | PBE-GGA | relaxed
# * V: 716.9 Å³/cell
# * energy of formation: -299 meV per atom
# * crystal system: orthorhombic
data_Pr5Tl6
_cell_length_a 5.450
_cell_length_b 7.859
_cell_length_c 16.738
_cell_angle_alpha 90.00
_cell_angle_beta 90.00
_cell_angle_gamma 90.00
_space_group_name_H-M_alt 'I m m m'
_space_group_IT_number 71
_space_group_name_Hall '-I 2 2'
loop_
_atom_site_label
_atom_site_type_symbol
_atom_site_fract_x
_atom_site_fract_y
_atom_site_fract_z
Pr1 Pr 0.000 0.000 0.000
Pr2 Pr 0.000 0.000 0.357
Pr3 Pr 0.000 0.500 0.323
Tl1 Tl 0.000 0.246 0.166
Tl2 Tl 0.000 0.270 0.500

***

Record 4
# LaMg2Os | Alexandria via LeMat-Bulk | PBE-GGA | relaxed
# * V: 85.6 Å³/cell
# * energy of formation: 158 meV per atom
# * crystal system: monoclinic
data_LaMg2Os
_cell_length_a 3.190
_cell_length_b 4.910
_cell_length_c 5.678
_cell_angle_alpha 90.00
_cell_angle_beta 105.67
_cell_angle_gamma 90.00
_space_group_name_H-M_alt 'P 1 2/m 1'
_space_group_IT_number 10
loop_
_space_group_symop_operation_xyz
'x,y,z'
'-x,-y,-z'
'-x,y,-z'
'x,-y,z'
loop_
_atom_site_label
_atom_site_type_symbol
_atom_site_fract_x
_atom_site_fract_y
_atom_site_fract_z
La1 La 0.000 0.000 0.000
Mg1 Mg 0.369 0.500 0.711
Os1 Os 0.000 0.000 0.500

***

Please write out number 1 again, unchanged.
# Cs3CaPb2I9 | Alexandria via LeMat-Bulk | PBE-GGA | relaxed
# * V: 761.7 Å³/cell
# * crystal system: trigonal
# * calculated total energy: -2.918 eV/atom
data_Cs3CaPb2I9
_cell_length_a 8.9490
_cell_length_b 8.9490
_cell_length_c 10.9830
_cell_angle_alpha 90.00
_cell_angle_beta 90.00
_cell_angle_gamma 120.00
_space_group_name_H-M_alt 'P -3 m 1'
_space_group_IT_number 164
_space_group_name_Hall '-P 3 2"'
loop_
_atom_site_label
_atom_site_type_symbol
_atom_site_fract_x
_atom_site_fract_y
_atom_site_fract_z
Cs1 Cs 0.0000 0.0000 0.0000
Cs2 Cs 0.3333 0.6667 0.6602
Ca1 Ca 0.0000 0.0000 0.5000
Pb1 Pb 0.3333 0.6667 0.1691
I1 I 0.0000 0.5000 0.0000
I2 I 0.1646 0.3291 0.3378